(1)
A geometry-optimized SmY2Tm3Bi6 structure, computed with GGA-PBE.

For the formation energy, the calculation gives -843.3 meV per atom. The crystal system is monoclinic. The space group is No. 12.

```
SmY2Tm3Bi6
1.0
9.741 -2.235 0.000
9.741 2.235 0.000
-2.040 0.000 8.706
Sm Y Tm Bi
1 2 3 6
direct
0.000 0.000 0.000
0.333 0.333 0.667
0.667 0.667 0.333
0.000 0.000 0.500
0.334 0.334 0.167
0.666 0.666 0.833
0.166 0.166 0.585
0.169 0.169 0.082
0.500 0.500 0.256
0.500 0.500 0.744
0.831 0.831 0.918
0.834 0.834 0.415
```

---

(2)
A geometry-optimized AcGa2Sn structure, computed with GGA-PBE.

For the formation energy, the calculation gives -479.7 meV per atom. The crystal system is orthorhombic. The space group is No. 62. Its polymorph energy (0 for the lowest one) is 0.000 eV/atom.

```
AcGa2Sn
1.0
7.256 0.000 0.000
0.000 4.981 0.000
0.000 0.000 11.629
Ac Ga Sn
4 8 4
direct
0.150 0.250 0.139
0.350 0.750 0.639
0.650 0.250 0.361
0.850 0.750 0.861
0.017 0.250 0.659
0.160 0.250 0.858
0.340 0.750 0.358
0.483 0.750 0.159
0.517 0.250 0.841
0.660 0.250 0.642
0.840 0.750 0.142
0.983 0.750 0.341
0.159 0.250 0.432
0.341 0.750 0.932
0.659 0.250 0.068
0.841 0.750 0.568
```

---

(3)
A geometry-optimized YSc2Te structure, computed with GGA-PBE.

The crystal system is trigonal. The space group is No. 166. The uncorrected formation energy comes out at -0.128 eV/atom.

```
YSc2Te
1.0
3.693 0.000 0.000
-1.846 3.198 0.000
0.000 0.000 29.944
Y Sc Te
3 6 3
direct
0.000 0.000 0.000
0.333 0.667 0.667
0.667 0.333 0.333
0.000 0.000 0.102
0.000 0.000 0.898
0.333 0.667 0.565
0.333 0.667 0.768
0.667 0.333 0.232
0.667 0.333 0.435
0.000 0.000 0.500
0.333 0.667 0.167
0.667 0.333 0.833
```

---

(4)
A geometry-optimized Li4Nd2Cd5 structure, computed with GGA-PBE.

For the formation energy, the calculation gives -162.2 meV per atom. The crystal system is orthorhombic. The space group is No. 69.

```
Li4Nd2Cd5
1.0
0.000 4.872 8.513
3.048 0.000 8.513
3.048 4.872 0.000
Li Nd Cd
4 2 5
direct
0.018 0.715 0.285
0.285 0.982 0.018
0.715 0.018 0.982
0.982 0.285 0.715
0.376 0.376 0.624
0.624 0.624 0.376
0.000 0.000 0.000
0.000 0.000 0.500
0.250 0.250 0.250
0.500 0.500 0.000
0.750 0.750 0.750
```

---

(5)
A geometry-optimized SrLiTe2I structure, computed with GGA-PBE.

The crystal system is tetragonal. The space group is No. 123. Its polymorph energy (0 for the lowest one) is 0.000 eV/atom. The uncorrected formation energy comes out at -0.788 eV/atom.

```
SrLiTe2I
1.0
5.089 0.000 0.000
0.000 5.089 0.000
0.000 0.000 6.283
Sr Li Te I
1 1 2 1
direct
0.000 0.000 0.000
0.500 0.500 0.500
0.000 0.500 0.500
0.500 0.000 0.500
0.500 0.500 0.000
```

---

(6)
A geometry-optimized Cs4Pr3MnS8 structure, computed with GGA-PBE.

The crystal system is trigonal. The space group is No. 166. The uncorrected formation energy comes out at -1.465 eV/atom.

```
Cs4Pr3MnS8
1.0
4.175 2.410 8.064
-4.175 2.410 8.064
0.000 -4.821 8.064
Cs Pr Mn S
4 3 1 8
direct
0.000 0.000 0.000
0.000 0.500 0.500
0.500 0.000 0.500
0.500 0.500 0.000
0.000 0.000 0.500
0.000 0.500 0.000
0.500 0.000 0.000
0.500 0.500 0.500
0.231 0.231 0.231
0.252 0.713 0.713
0.287 0.287 0.748
0.287 0.748 0.287
0.713 0.252 0.713
0.713 0.713 0.252
0.748 0.287 0.287
0.769 0.769 0.769
```

---

(7)
A geometry-optimized KBa2Cl2 structure, computed with GGA-PBE.

The crystal system is tetragonal. The space group is No. 139. Its polymorph energy (0 for the lowest one) is 0.000 eV/atom. The uncorrected formation energy comes out at -1.400 eV/atom.

```
KBa2Cl2
1.0
5.535 0.000 0.000
0.000 5.535 0.000
0.000 0.000 15.769
K Ba Cl
2 4 4
direct
0.000 0.000 0.000
0.500 0.500 0.500
0.000 0.000 0.351
0.000 0.000 0.649
0.500 0.500 0.149
0.500 0.500 0.851
0.000 0.500 0.250
0.000 0.500 0.750
0.500 0.000 0.250
0.500 0.000 0.750
```

---

(8)
A geometry-optimized Mn2PtPb structure, computed with GGA-PBE.

For the formation energy, the calculation gives 228.0 meV per atom. The crystal system is cubic. The space group is No. 216.

```
Mn2PtPb
1.0
6.591 0.000 0.000
0.000 6.591 0.000
0.000 0.000 6.591
Mn Pt Pb
8 4 4
direct
0.000 0.000 0.000
0.000 0.500 0.500
0.250 0.250 0.250
0.250 0.750 0.750
0.500 0.000 0.500
0.500 0.500 0.000
0.750 0.250 0.750
0.750 0.750 0.250
0.250 0.250 0.750
0.250 0.750 0.250
0.750 0.250 0.250
0.750 0.750 0.750
0.000 0.000 0.500
0.000 0.500 0.000
0.500 0.000 0.000
0.500 0.500 0.500
```

---

(9)
A geometry-optimized LaSc2CuN structure, computed with GGA-PBE.

The crystal system is tetragonal. The space group is No. 123. The uncorrected formation energy comes out at -0.665 eV/atom.

```
LaSc2CuN
1.0
4.386 0.000 0.000
0.000 4.386 0.000
0.000 0.000 5.087
La Sc Cu N
1 2 1 1
direct
0.000 0.000 0.000
0.000 0.500 0.500
0.500 0.000 0.500
0.500 0.500 0.000
0.000 0.000 0.500
```

---

(10)
A geometry-optimized In2TcSe structure, computed with GGA-PBE.

The crystal system is tetragonal. The space group is No. 122. The uncorrected formation energy comes out at 0.480 eV/atom.

```
In2TcSe
1.0
7.742 0.000 0.000
0.000 7.742 0.000
0.000 0.000 5.920
In Tc Se
8 4 4
direct
0.244 0.250 0.125
0.250 0.744 0.375
0.250 0.756 0.875
0.256 0.250 0.625
0.744 0.750 0.625
0.750 0.244 0.875
0.750 0.256 0.375
0.756 0.750 0.125
0.000 0.000 0.000
0.000 0.500 0.250
0.500 0.000 0.750
0.500 0.500 0.500
0.000 0.000 0.500
0.000 0.500 0.750
0.500 0.000 0.250
0.500 0.500 0.000
```

---

(11)
A geometry-optimized ReSi2Ni2 structure, computed with GGA-PBE.

The crystal system is tetragonal. The space group is No. 127. Its polymorph energy (0 for the lowest one) is 0.000 eV/atom. The uncorrected formation energy comes out at -0.311 eV/atom.

```
ReSi2Ni2
1.0
6.698 0.000 0.000
0.000 6.698 0.000
0.000 0.000 2.693
Re Si Ni
2 4 4
direct
0.000 0.000 0.000
0.500 0.500 0.000
0.152 0.348 0.000
0.348 0.848 0.000
0.652 0.152 0.000
0.848 0.652 0.000
0.140 0.640 0.500
0.360 0.140 0.500
0.640 0.860 0.500
0.860 0.360 0.500
```

---

(12)
A geometry-optimized ZrTi2Fe2 structure, computed with GGA-PBE.

For the formation energy, the calculation gives -94.9 meV per atom. The crystal system is tetragonal. The space group is No. 139. Its polymorph energy (0 for the lowest one) is 0.000 eV/atom.

```
ZrTi2Fe2
1.0
3.969 0.000 0.000
0.000 3.969 0.000
0.000 0.000 10.111
Zr Ti Fe
2 4 4
direct
0.000 0.000 0.000
0.500 0.500 0.500
0.000 0.500 0.250
0.000 0.500 0.750
0.500 0.000 0.250
0.500 0.000 0.750
0.000 0.000 0.394
0.000 0.000 0.606
0.500 0.500 0.106
0.500 0.500 0.894
```

---

(13)
A geometry-optimized Pm2Ni4Ge3Rh structure, computed with GGA-PBE.

For the formation energy, the calculation gives -611.7 meV per atom. The crystal system is tetragonal. The space group is No. 115.

```
Pm2Ni4Ge3Rh
1.0
4.067 0.000 0.000
0.000 4.067 0.000
0.000 0.000 10.064
Pm Ni Ge Rh
2 4 3 1
direct
0.000 0.500 0.249
0.500 0.000 0.751
0.000 0.000 0.500
0.000 0.500 0.860
0.500 0.000 0.140
0.500 0.500 0.500
0.000 0.000 0.000
0.000 0.500 0.625
0.500 0.000 0.375
0.500 0.500 0.000
```

---

(14)
A geometry-optimized YFe3Sb structure, computed with GGA-PBE.

The crystal system is cubic. The space group is No. 221. Its polymorph energy (0 for the lowest one) is 0.000 eV/atom. The uncorrected formation energy comes out at 0.695 eV/atom.

```
YFe3Sb
1.0
4.739 0.000 0.000
0.000 4.739 0.000
0.000 0.000 4.739
Y Fe Sb
1 3 1
direct
0.000 0.000 0.000
0.000 0.500 0.500
0.500 0.000 0.500
0.500 0.500 0.000
0.500 0.500 0.500
```

---

(15)
A geometry-optimized K2MgHgBr6 structure, computed with GGA-PBE.

The crystal system is monoclinic. The space group is No. 14. The uncorrected formation energy comes out at -1.244 eV/atom.

```
K2MgHgBr6
1.0
7.720 0.000 0.000
0.000 7.961 0.000
-7.138 0.000 10.501
K Mg Hg Br
4 2 2 12
direct
0.209 0.076 0.240
0.209 0.424 0.740
0.791 0.576 0.260
0.791 0.924 0.760
0.000 0.000 0.500
0.000 0.500 0.000
0.500 0.000 0.000
0.500 0.500 0.500
0.135 0.220 0.954
0.135 0.280 0.454
0.234 0.681 0.951
0.234 0.819 0.451
0.366 0.020 0.760
0.366 0.480 0.260
0.634 0.520 0.740
0.634 0.980 0.240
0.766 0.181 0.549
0.766 0.319 0.049
0.865 0.720 0.546
0.865 0.780 0.046
```

---

(16)
A geometry-optimized Zr2HgCl structure, computed with GGA-PBE.

The crystal system is orthorhombic. The space group is No. 71. Its polymorph energy (0 for the lowest one) is 0.256 eV/atom. The uncorrected formation energy comes out at -0.287 eV/atom.

```
Zr2HgCl
1.0
3.101 0.000 0.000
0.000 5.734 0.000
0.000 0.000 9.843
Zr Hg Cl
4 2 2
direct
0.000 0.000 0.223
0.000 0.000 0.777
0.500 0.500 0.277
0.500 0.500 0.723
0.000 0.500 0.000
0.500 0.000 0.500
0.000 0.500 0.500
0.500 0.000 0.000
```

---

(17)
A geometry-optimized AcTmZn2Pd5 structure, computed with GGA-PBE.

For the formation energy, the calculation gives -621.3 meV per atom. The crystal system is tetragonal. The space group is No. 123.

```
AcTmZn2Pd5
1.0
4.265 0.000 0.000
0.000 4.265 0.000
0.000 0.000 9.441
Ac Tm Zn Pd
1 1 2 5
direct
0.000 0.000 0.000
0.000 0.000 0.500
0.500 0.500 0.374
0.500 0.500 0.626
0.000 0.500 0.237
0.000 0.500 0.763
0.500 0.000 0.237
0.500 0.000 0.763
0.500 0.500 0.000
```

---

(18)
A geometry-optimized PrDyMg17 structure, computed with GGA-PBE.

For the formation energy, the calculation gives -38.1 meV per atom. The crystal system is trigonal. The space group is No. 160.

```
PrDyMg17
1.0
5.127 2.960 5.080
-5.127 2.960 5.080
0.000 -5.921 5.080
Pr Dy Mg
1 1 17
direct
0.000 0.000 0.000
0.341 0.341 0.341
0.024 0.024 0.507
0.024 0.507 0.024
0.168 0.672 0.672
0.317 0.317 0.827
0.317 0.827 0.317
0.369 0.668 0.972
0.369 0.972 0.668
0.507 0.024 0.024
0.569 0.569 0.569
0.668 0.369 0.972
0.668 0.972 0.369
0.672 0.168 0.672
0.672 0.672 0.168
0.767 0.767 0.767
0.827 0.317 0.317
0.972 0.369 0.668
0.972 0.668 0.369
```

---

(19)
A geometry-optimized V2ReRu8 structure, computed with GGA-PBE.

For the formation energy, the calculation gives -20.6 meV per atom. The crystal system is monoclinic. The space group is No. 12.

```
V2ReRu8
1.0
6.866 -1.914 0.000
6.866 1.914 0.000
-1.638 0.000 5.855
V Re Ru
2 1 8
direct
0.227 0.227 0.149
0.773 0.773 0.851
0.500 0.500 0.500
0.044 0.044 0.225
0.138 0.138 0.682
0.318 0.318 0.594
0.407 0.407 0.045
0.593 0.593 0.955
0.682 0.682 0.406
0.862 0.862 0.318
0.956 0.956 0.775
```

---

(20)
A geometry-optimized LaRhSe2 structure, computed with GGA-PBE.

The crystal system is trigonal. The space group is No. 166. Its polymorph energy (0 for the lowest one) is 0.101 eV/atom. The uncorrected formation energy comes out at -1.038 eV/atom.

```
LaRhSe2
1.0
4.315 0.000 0.000
-2.158 3.737 0.000
0.000 0.000 16.794
La Rh Se
3 3 6
direct
0.000 0.000 0.000
0.333 0.667 0.667
0.667 0.333 0.333
0.000 0.000 0.500
0.333 0.667 0.167
0.667 0.333 0.833
0.000 0.000 0.235
0.000 0.000 0.765
0.333 0.667 0.432
0.333 0.667 0.901
0.667 0.333 0.099
0.667 0.333 0.568
```

---

Computed total energy (eV/atom) in order:
-5.37 -4.02 -5.70 -2.14 -3.07 -5.21 -3.13 -6.79 -6.67 -4.35 -7.28 -8.35 -5.99 -6.50 -2.66 -5.10 -4.74 -1.96 -9.56 -5.85